Record 1
# TbEuCuRh

TbEuCuRh after structural relaxation (PBE, Alexandria).

Values from the calculation:
The calculation puts the density of states at the Fermi level at 5.403 states/eV/f.u. The value obtained for the raw total energy is -27.89 eV for the cell shown. The calculation puts the formation energy at -0.384 eV/atom.

```
4
Lattice="0.0000 3.5069 3.5069 3.5069 0.0000 3.5069 3.5069 3.5069 0.0000" Properties=species:S:1:pos:R:3 pbc="T T T"
Tb 0.0000 0.0000 0.0000
Eu 3.5069 3.5069 3.5069
Cu 5.2603 5.2603 5.2603
Rh 1.7534 1.7534 1.7534
```

Record 2
# EuThCuRh

EuThCuRh after structural relaxation (PBE, Alexandria).

Values from the calculation:
The calculation puts the density of states at the Fermi level at 4.534 states/eV/f.u. The value obtained for the raw total energy is -30.49 eV for the cell shown. The calculation puts the formation energy at -0.337 eV/atom.

```
4
Lattice="0.0000 3.5616 3.5616 3.5616 0.0000 3.5616 3.5616 3.5616 0.0000" Properties=species:S:1:pos:R:3 pbc="T T T"
Eu 0.0000 0.0000 0.0000
Th 3.5616 3.5616 3.5616
Cu 1.7808 1.7808 1.7808
Rh 5.3424 5.3424 5.3424
```

Record 3
# EuZrCuRh

EuZrCuRh after structural relaxation (PBE, Alexandria).

Values from the calculation:
The calculation puts the density of states at the Fermi level at 5.519 states/eV/f.u. The value obtained for the raw total energy is -31.11 eV for the cell shown. The calculation puts the formation energy at -0.209 eV/atom.

```
4
Lattice="0.0000 3.4111 3.4111 3.4111 0.0000 3.4111 3.4111 3.4111 0.0000" Properties=species:S:1:pos:R:3 pbc="T T T"
Eu 0.0000 0.0000 0.0000
Zr 3.4111 3.4111 3.4111
Cu 5.1166 5.1166 5.1166
Rh 1.7055 1.7055 1.7055
```